No. 1
DFT (PBE-GGA) results for a relaxed structure of AcTb6Pm3Ho2.

Cell and atoms, written as extended XYZ:
```
12
Lattice="6.255 0.001 0.015 -3.125 5.418 0.015 -1.067 -1.848 11.777" Properties=species:S:1:pos:R:3 pbc="T T T"
Tb 3.118 1.756 8.838
Tb -1.056 1.815 2.968
Tb 2.099 -0.008 2.968
Tb -0.037 3.578 8.838
Tb -0.010 -0.017 8.821
Tb 2.072 3.587 2.985
Ac 0.000 0.000 0.000
Ho 0.001 3.612 0.015
Ho 3.129 1.806 0.015
Pm -2.092 3.589 5.903
Pm 1.031 1.785 5.903
Pm 4.154 -0.018 5.903
```

The formation energy comes out at 30 kJ/mol of formula units. For the calculated volume, the calculation gives 33.29 Å³ per atom. The value obtained for the spin magnetization is 0.00 μB/atom.

***

No. 2
DFT (PBE-GGA) results for a relaxed structure of AcTb5Pm2Ho.

Cell and atoms, written as extended XYZ:
```
18
Lattice="-7.278 5.068 -0.470 -5.047 -7.293 -0.478 5.585 1.003 8.240" Properties=species:S:1:pos:R:3 pbc="T T T"
Pm -9.543 -0.015 -0.710
Pm -7.254 -4.500 -0.603
Pm -2.783 -2.209 -0.238
Pm -5.072 2.276 -0.345
Ho -3.928 2.480 3.648
Ho -2.813 -3.701 3.644
Tb -3.333 -0.040 1.820
Tb -1.526 2.912 5.669
Tb 0.677 -3.072 5.749
Tb -6.163 -1.112 -0.474
Tb -7.417 1.851 1.542
Tb -5.214 -4.133 1.622
Tb -3.408 -1.181 5.472
Tb 2.558 1.021 5.947
Tb -9.299 -2.242 1.345
Tb 0.000 0.000 0.000
Ac -0.289 -0.054 3.883
Ac -6.452 -1.166 3.409
```

The formation energy comes out at 226 kJ/mol of formula units. For the calculated volume, the calculation gives 34.13 Å³ per atom. The value obtained for the spin magnetization is 0.00 μB/atom.

***

No. 3
DFT (PBE-GGA) results for a relaxed structure of Ac2TbPm5Ho.

Cell and atoms, written as extended XYZ:
```
18
Lattice="-5.625 1.491 -0.184 0.209 -10.660 -0.664 -0.539 -0.690 10.917" Properties=species:S:1:pos:R:3 pbc="T T T"
Pm -1.635 -5.805 2.956
Pm -0.113 -0.398 0.212
Pm -5.597 -9.146 4.882
Pm -1.916 -6.341 7.215
Pm -3.035 0.229 2.526
Pm -4.384 -4.136 8.420
Pm -2.912 -10.077 7.374
Pm -3.677 -1.834 5.430
Pm -2.032 -7.709 -0.354
Pm -3.987 -3.451 1.802
Ho -1.073 -4.073 -0.210
Ho -4.623 -5.454 5.021
Ac -4.956 -7.100 1.872
Ac -5.247 -7.410 8.265
Ac -0.782 -2.544 3.299
Ac -0.981 -2.736 7.838
Tb -3.809 -1.733 10.316
Tb -2.379 -8.424 4.470
```

The formation energy comes out at 121 kJ/mol of formula units. For the calculated volume, the calculation gives 36.41 Å³ per atom. The value obtained for the spin magnetization is 0.00 μB/atom.

***

No. 4
DFT (PBE-GGA) results for a relaxed structure of AcTb2Pm5Ho.

Cell and atoms, written as extended XYZ:
```
18
Lattice="5.570 0.000 0.000 -2.785 12.208 0.000 0.000 0.000 9.457" Properties=species:S:1:pos:R:3 pbc="T T T"
Tb 2.785 7.987 1.693
Tb 0.000 4.221 6.422
Tb 0.000 2.745 2.646
Tb 2.785 9.463 7.375
Pm 0.000 6.302 3.444
Pm 2.785 4.662 2.110
Pm 2.785 2.580 5.014
Pm 0.000 9.627 0.285
Pm 2.785 5.905 8.173
Pm 2.785 0.589 2.384
Pm 0.000 7.546 6.839
Pm 2.785 11.974 0.294
Pm 0.000 0.234 5.023
Pm 0.000 11.619 7.112
Ho 2.785 6.379 5.079
Ho 0.000 5.829 0.350
Ac 0.000 9.717 4.042
Ac 2.785 2.491 8.771
```

The formation energy comes out at 124 kJ/mol of formula units. For the calculated volume, the calculation gives 35.73 Å³ per atom. The value obtained for the spin magnetization is 0.00 μB/atom.

***

No. 5
DFT (PBE-GGA) results for a relaxed structure of AcTbPm4Ho2.

Cell and atoms, written as extended XYZ:
```
8
Lattice="5.175 0.000 0.000 0.000 4.979 1.292 0.000 2.386 11.293" Properties=species:S:1:pos:R:3 pbc="T T T"
Ho 2.587 1.193 5.647
Ho 0.000 2.386 11.293
Pm 0.000 5.541 9.366
Pm 5.175 1.824 3.219
Pm 2.587 3.055 8.711
Pm 2.587 4.311 3.873
Ac 2.587 2.490 0.646
Tb 0.000 3.683 6.292
```

The formation energy comes out at 24 kJ/mol of formula units. For the calculated volume, the calculation gives 34.38 Å³ per atom. The value obtained for the spin magnetization is 0.00 μB/atom.

***

No. 6
DFT (PBE-GGA) results for a relaxed structure of AcTb2Pm2Ho2.

Cell and atoms, written as extended XYZ:
```
7
Lattice="-2.245 -2.709 3.731 1.154 -3.299 -5.225 7.277 -1.091 3.586" Properties=species:S:1:pos:R:3 pbc="T T T"
Ho 4.049 -2.817 3.915
Ho 2.137 -4.283 -1.824
Pm 3.033 -5.306 1.496
Pm 3.154 -1.793 0.595
Ac 0.000 0.000 0.000
Tb -0.037 -3.524 0.943
Tb 6.224 -3.576 1.148
```

The formation energy comes out at 27 kJ/mol of formula units. For the calculated volume, the calculation gives 34.06 Å³ per atom. The value obtained for the spin magnetization is 0.00 μB/atom.